1.
Here is an optimized crystal structure of Pr3Y6Tl from Alexandria via LeMat-Bulk. Energies are from PBE.

Results
The calculation puts the polymorph energy (0 for the lowest one) at 88.8 meV per atom.

a b c (Å): 8.7783 8.7783 8.7783
angles (deg): 89.51 89.51 89.51
Closest atoms and distances in Å follow each position.
Fractional coordinates of all 20 atoms:
Pr (0.2766, 0.8889, 0.7373)  7 Y 3.30-3.68, 1 Tl 3.47, 2 Pr 3.58
Y (0.4956, 0.1670, 0.6111)  1 Tl 3.07, 2 Pr 3.30-3.40
Y (0.3732, 0.1530, 0.0391)  6 Y 3.54-3.90, 1 Tl 3.57, 5 Pr 3.62-3.95
Y (0.1530, 0.0391, 0.3732)  6 Y 3.54-3.90, 1 Tl 3.57, 5 Pr 3.62-3.95
Tl (0.5000, 0.5000, 0.5000)  6 Y 3.07
Y (0.8330, 0.3889, 0.5044)  1 Tl 3.07, 2 Pr 3.30-3.40
Y (0.3889, 0.5044, 0.8330)  1 Tl 3.07, 2 Pr 3.30-3.40
Tl (0.0000, 0.0000, 0.0000)  6 Pr 3.47, 6 Y 3.57
Y (0.1670, 0.6111, 0.4956)  1 Tl 3.07, 2 Pr 3.30-3.40
Pr (0.1111, 0.2627, 0.7234)  7 Y 3.30-3.68, 1 Tl 3.47, 2 Pr 3.58
Y (0.6268, 0.8470, 0.9609)  6 Y 3.54-3.90, 1 Tl 3.57, 5 Pr 3.62-3.95
Y (0.0391, 0.3732, 0.1530)  6 Y 3.54-3.90, 1 Tl 3.57, 5 Pr 3.62-3.95
Y (0.6111, 0.4956, 0.1670)  1 Tl 3.07, 2 Pr 3.30-3.40
Pr (0.7234, 0.1111, 0.2627)  7 Y 3.30-3.68, 1 Tl 3.47, 2 Pr 3.58
Y (0.8470, 0.9609, 0.6268)  6 Y 3.54-3.90, 1 Tl 3.57, 5 Pr 3.62-3.95
Y (0.5044, 0.8330, 0.3889)  1 Tl 3.07, 2 Pr 3.30-3.40
Y (0.9609, 0.6268, 0.8470)  6 Y 3.54-3.90, 1 Tl 3.57, 5 Pr 3.62-3.95
Pr (0.7373, 0.2766, 0.8889)  7 Y 3.30-3.68, 1 Tl 3.47, 2 Pr 3.58
Pr (0.2627, 0.7234, 0.1111)  7 Y 3.30-3.68, 1 Tl 3.47, 2 Pr 3.58
Pr (0.8889, 0.7373, 0.2766)  7 Y 3.30-3.68, 1 Tl 3.47, 2 Pr 3.58

2.
Here is an optimized crystal structure of BaPrSm4S8 from Alexandria via LeMat-Bulk. Energies are from PBE.

Results
As for the uncorrected formation energy: -1.96 eV per atom.

a b c (Å): 8.4078 8.4078 8.4558
angles (deg): 60.19 60.19 60.00
Closest atoms and distances in Å follow each position.
Fractional coordinates of all 14 atoms:
S (0.7993, 0.2364, 0.7279)  2 Sm 2.76, 1 Pr 2.82, 1 Ba 2.92
S (0.7543, 0.2299, 0.2614)  3 Sm 2.72-2.91, 1 Pr 2.95
Pr (0.0016, 0.0016, 0.9953)  6 S 2.82-2.95
Sm (0.4951, 0.0016, 0.5017)  6 S 2.76-2.92
S (0.2299, 0.7543, 0.2614)  3 Sm 2.72-2.91, 1 Pr 2.95
Sm (0.6252, 0.6252, 0.1243)  4 S 2.72-2.74
Ba (0.3740, 0.3740, 0.8780)  4 S 2.92-2.93
Sm (0.0016, 0.0016, 0.5017)  6 S 2.76-2.92
Sm (0.0016, 0.4951, 0.5017)  6 S 2.76-2.92
S (0.2364, 0.2364, 0.7279)  2 Sm 2.76, 1 Pr 2.82, 1 Ba 2.92
S (0.7574, 0.7574, 0.7279)  4 Sm 2.74-2.92
S (0.2364, 0.7993, 0.7279)  2 Sm 2.76, 1 Pr 2.82, 1 Ba 2.92
S (0.7543, 0.7543, 0.2614)  3 Sm 2.72-2.91, 1 Pr 2.95
S (0.2328, 0.2328, 0.3016)  3 Sm 2.77, 1 Ba 2.93

3.
Here is an optimized crystal structure of CaCrRe2 from Alexandria via LeMat-Bulk. Energies are from PBE.

Results
The calculation puts the polymorph energy (0 for the lowest one) at 32.3 meV per atom.

a b c (Å): 3.0524 3.0524 7.3792
angles (deg): 90.00 90.00 90.00
Closest atoms and distances in Å follow each position.
Fractional coordinates of all 4 atoms:
Re (0.0000, 0.0000, 0.9328)  4 Cr 2.55, 1 Re 2.70
Ca (0.5000, 0.5000, 0.2500)  4 Ca 3.05, 8 Re 3.18
Re (0.0000, 0.0000, 0.5672)  4 Cr 2.55, 1 Re 2.70
Cr (0.5000, 0.5000, 0.7500)  8 Re 2.55

4.
Here is an optimized crystal structure of LaMgCrH6 from Alexandria via LeMat-Bulk. Energies are from PBE.

a b c (Å): 4.6651 4.6651 4.6669
angles (deg): 90.00 90.00 60.00
Closest atoms and distances in Å follow each position.
Fractional coordinates of all 9 atoms:
H (0.4829, 0.0340, 0.7644)  1 Cr 1.73, 1 Mg 1.93
H (0.0340, 0.4831, 0.7644)  1 Cr 1.73, 1 Mg 1.93
La (0.0000, 0.0000, 0.0000)  12 H 2.58
H (0.0340, 0.4829, 0.2356)  1 Cr 1.73, 1 Mg 1.93
Mg (0.6666, 0.6667, 0.5000)  6 H 1.93
Cr (0.3333, 0.3333, 0.5000)  6 H 1.73
H (0.4831, 0.4829, 0.7644)  1 Cr 1.73, 1 Mg 1.93
H (0.4829, 0.4831, 0.2356)  1 Cr 1.73, 1 Mg 1.93
H (0.4831, 0.0340, 0.2356)  1 Cr 1.73, 1 Mg 1.93

5.
Here is an optimized crystal structure of RbTbCl2 from Alexandria via LeMat-Bulk. Energies are from PBE.

Results
As for the uncorrected formation energy: -1.32 eV per atom.

a b c (Å): 3.7986 3.7986 10.5407
angles (deg): 79.62 79.62 60.00
Closest atoms and distances in Å follow each position.
Fractional coordinates of all 4 atoms:
Tb (0.5000, 0.5000, 0.5000)  6 Cl 2.86
Cl (0.1074, 0.1074, 0.6777)  3 Tb 2.86
Rb (0.0000, 0.0000, 0.0000)  2 Cl 3.32
Cl (0.8926, 0.8926, 0.3223)  3 Tb 2.86

6.
Here is an optimized crystal structure of RbZrGa2Se from Alexandria via LeMat-Bulk. Energies are from PBE.

Results
As for the uncorrected formation energy: 1.29 eV per atom.

a b c (Å): 5.3613 5.6541 5.3613
angles (deg): 90.00 90.00 90.00
Closest atoms and distances in Å follow each position.
Fractional coordinates of all 5 atoms:
Rb (0.0000, 0.0000, 0.0000)  4 Ga 2.68, 2 Se 2.83
Ga (0.0000, 0.0000, 0.5000)  2 Rb 2.68
Se (0.0000, 0.5000, 0.0000)  2 Rb 2.83
Ga (0.5000, 0.0000, 0.0000)  2 Rb 2.68
Zr (0.5000, 0.5000, 0.5000)  4 Se 3.79, 8 Ga 3.90

| no. | energy (eV per atom) | DOS(E_F) (states/eV/atom) |
| --- | --- | --- |
| 1 | -5.47 | 1.703 |
| 2 | -6.14 | 0.267 |
| 3 | -8.62 | 0.965 |
| 4 | -4.32 | 0.294 |
| 5 | -3.65 | 0.743 |
| 6 | -2.52 | 1.373 |